1.
Computed, not measured: a crystal of YHg2Pt relaxed with PBEsol at the SCAN level of DFT.

Values from the calculation:
- N(E_F) (states/eV per atom) = 0.3461
- energy of formation (eV per atom) = -0.62

Cell lengths 5.196, 5.196, 5.196 Å; angles 130.06, 130.06, 73.31 degrees
Element x y z (fractional)
1 Y 0.000 0.000 0.000
2 Hg 0.250 0.750 0.500
3 Hg 0.750 0.250 0.500
4 Pt 0.500 0.500 0.000


2.
Computed, not measured: a crystal of YHgPt2 relaxed with PBEsol at the SCAN level of DFT.

Values from the calculation:
- N(E_F) (states/eV per atom) = 0.2097
- energy of formation (eV per atom) = -0.85

Cell lengths 3.567, 3.567, 5.899 Å; angles 90.00, 90.00, 90.00 degrees
Element x y z (fractional)
1 Y 0.000 0.000 0.000
2 Hg 0.000 0.000 0.500
3 Pt 0.500 0.500 0.258
4 Pt 0.500 0.500 0.742


3.
Computed, not measured: a crystal of ZnHg2Pt relaxed with PBEsol at the SCAN level of DFT.

Values from the calculation:
- N(E_F) (states/eV per atom) = 0.3688
- energy of formation (eV per atom) = 0.18

Cell lengths 2.985, 2.985, 7.882 Å; angles 90.00, 90.00, 90.00 degrees
Element x y z (fractional)
1 Zn 0.000 0.000 0.000
2 Hg 0.500 0.500 0.250
3 Hg 0.500 0.500 0.750
4 Pt 0.000 0.000 0.500


What is the energy of formation in the second record? -0.85 eV per atom